Material: B2TeIr
Method: DFT, PBE
State: optimized geometry

Structure (POSCAR):
```
B2TeIr
1.0
6.085 0.000 0.000
0.000 6.085 0.000
0.000 0.000 6.085
B Te Ir
8 4 4
direct
0.000 0.000 0.000
0.000 0.500 0.500
0.250 0.250 0.250
0.250 0.750 0.750
0.500 0.000 0.500
0.500 0.500 0.000
0.750 0.250 0.750
0.750 0.750 0.250
0.000 0.000 0.500
0.000 0.500 0.000
0.500 0.000 0.000
0.500 0.500 0.500
0.250 0.250 0.750
0.250 0.750 0.250
0.750 0.250 0.250
0.750 0.750 0.750
```

Material: BTeIr
Method: DFT, PBE
State: optimized geometry

Structure (POSCAR):
```
BTeIr
1.0
5.918 0.000 0.000
0.000 5.918 0.000
0.000 0.000 5.918
B Te Ir
4 4 4
direct
0.000 0.000 0.000
0.000 0.500 0.500
0.500 0.000 0.500
0.500 0.500 0.000
0.000 0.000 0.500
0.000 0.500 0.000
0.500 0.000 0.000
0.500 0.500 0.500
0.250 0.250 0.250
0.250 0.750 0.750
0.750 0.250 0.750
0.750 0.750 0.250
```

Properties
The value obtained for the excess energy over the best structure of this formula in the dataset is 0.0000 eV per atom.

| no. | E_tot (eV/atom) |
| --- | --- |
| 1 | -4.77 |
| 2 | -5.52 |